A relaxed structure of FeBRuO2. Source: the Alexandria database, functional GGA+U.

Results
Magnetic moment = 3.0 μB per formula unit
Energy above the lowest structure with this stoichiometry = 0.060 eV per atom
SG = P4/mmm (123)
VASP energy = -5.759 eV per atom

Unit cell a=3.4139 b=5.5747 c=3.4139 alpha=90.00 beta=90.00 gamma=90.00
Fractional positions:
O: 0.0000 0.0000 0.5000
O: 0.5000 0.0000 0.0000
Ru: 0.0000 0.5000 0.0000
Fe: 0.0000 0.0000 0.0000
B: 0.5000 0.5000 0.5000